This record from Alexandria via LeMat-Bulk describes CaHg2Sb after structural relaxation. The functional is GGA-PBE.

Properties
E, eV/cell: -16.73
Total magnetization, μB per cell: 0.00

Lattice parameters (Å, degrees): 4.5983 5.8975 9.2316 96.79 103.09 110.69
Last column: nearest neighbours and their distance in Å.
Space group P-1 (No. 2)
One atom of each set of equivalent atoms:
Ca 0.0239 0.3975 0.2064 x2  3 Sb 3.25-3.27, 7 Hg 3.27-3.45
Hg 0.2066 0.2883 0.5475 x2  2 Hg 3.15-3.33, 3 Ca 3.27-3.44, 2 Sb 3.45-3.46
Hg 0.3311 0.2332 0.9433 x2  1 Hg 2.91, 3 Sb 2.96-3.25
Sb 0.3571 0.9963 0.2440 x2  3 Hg 2.96-3.25, 3 Ca 3.25-3.27